# NiSbOs2

Crystalline NiSbOs2 at its relaxed geometry (PBE, Alexandria).

## Properties
Spin magnetization = 0.0000 μB per atom
ΔE_f (raw) = 242 kJ/mol of formula units

Cell lengths 3.9302, 3.9302, 9.3403 Å; angles 77.85, 77.85, 90.00 degrees
Sites, in units of the cell vectors:
Sb  0.0000  0.0000  0.0000
Sb  0.7500  0.2500  0.5000
Os  0.5543  0.1250  0.2500
Os  0.1957  0.6250  0.2500
Os  0.3750  0.4457  0.7500
Os  0.8750  0.8043  0.7500
Ni  0.5000  0.5000  0.0000
Ni  0.2500  0.7500  0.5000